# AlPb (PBE, optimized geometry)
data_AlPb
_cell_length_a 5.8859
_cell_length_b 5.8859
_cell_length_c 5.8859
_cell_angle_alpha 90.00
_cell_angle_beta 90.00
_cell_angle_gamma 90.00
_symmetry_space_group_name_H-M 'P 1'
_symmetry_Int_Tables_number 1
loop_
_symmetry_equiv_pos_as_xyz
'x,y,z'
loop_
_atom_site_label
_atom_site_type_symbol
_atom_site_fract_x
_atom_site_fract_y
_atom_site_fract_z
_atom_site_occupancy
Al1 Al 0.0959 0.4041 0.5959 1
Al2 Al 0.4041 0.5959 0.0959 1
Al3 Al 0.5959 0.0959 0.4041 1
Al4 Al 0.9041 0.9041 0.9041 1
Pb1 Pb 0.0883 0.9117 0.4117 1
Pb2 Pb 0.4117 0.0883 0.9117 1
Pb3 Pb 0.5883 0.5883 0.5883 1
Pb4 Pb 0.9117 0.4117 0.0883 1
# Magnetic moment, μB/f.u.: 0.00
# Formation enthalpy at 0 K, meV per atom: 309.4